1.
Density functional theory data (GGA-PBE) for crystalline K2AcTaO6 at its relaxed geometry.

```
K2AcTaO6
1.0
6.2902 0.0000 0.0000
0.0000 6.2898 0.0000
-6.2745 0.0000 8.9009
K Ac Ta O
4 2 2 12
Direct
0.2482 0.0071 0.2496 K
0.2482 0.4929 0.7496 K
0.7518 0.5071 0.2504 K
0.7518 0.9929 0.7504 K
0.5000 0.0000 0.0000 Ac
0.5000 0.5000 0.5000 Ac
0.0000 0.0000 0.5000 Ta
0.0000 0.5000 0.0000 Ta
0.1831 0.2436 0.4806 O
0.1831 0.2564 0.9806 O
0.2247 0.7036 0.9818 O
0.2247 0.7964 0.4818 O
0.2596 0.0053 0.7231 O
0.2596 0.4947 0.2231 O
0.7404 0.5053 0.7769 O
0.7404 0.9947 0.2769 O
0.7753 0.2036 0.5182 O
0.7753 0.2964 0.0182 O
0.8169 0.7436 0.0194 O
0.8169 0.7564 0.5194 O
```

Summary:
symmetry	No. 14
raw formation energy	-2.262	eV per atom

***

2.
Density functional theory data (GGA-PBE) for crystalline HfTiRh2 at its relaxed geometry.

```
HfTiRh2
1.0
4.3647 0.0000 0.0000
0.0000 4.3647 0.0000
0.0000 0.0000 3.4122
Hf Ti Rh
1 1 2
Direct
0.0000 0.0000 0.0000 Hf
0.5000 0.5000 0.0000 Ti
0.0000 0.5000 0.5000 Rh
0.5000 0.0000 0.5000 Rh
```

Summary:
symmetry	No. 123

***

no.,final energy (eV/atom)
1,-7.0528
2,-8.9300